Entry 1:
The following is a GGA-PBE calculation of a geometry-optimized Tb3Tm5Th3 structure, from Alexandria via LeMat-Bulk.

abc: 6.154 7.721 8.229
angles: 90.74 107.56 106.96
Space group P1 (No. 1)
Asymmetric unit:
Tb (0.000, 0.000, 0.000) x1
Tb (0.304, 0.379, 0.806) x1
Tb (0.625, 0.175, 0.182) x1
Tm (0.252, 0.347, 0.363) x1
Tm (0.284, 0.812, 0.378) x1
Tm (0.364, 0.820, 0.816) x1
Tm (0.614, 0.177, 0.695) x1
Tm (0.982, 0.533, 0.001) x1
Th (0.623, 0.680, 0.180) x1
Th (0.860, 0.543, 0.546) x1
Th (0.929, 0.978, 0.548) x1

Volume ... 32.2 Å³ per atom
Distance to the lowest polymorph of the same formula ... 0 meV per atom
E ... -5.15 eV per atom
Crystal system ... triclinic



Entry 2:
The following is a GGA-PBE calculation of a geometry-optimized PmCdPd structure, from Alexandria via LeMat-Bulk.

abc: 3.738 3.738 9.785
angles: 90.00 90.00 90.00
Space group I4mm (No. 107)
Asymmetric unit:
Pm (0.000, 0.000, 0.000) x2
Cd (0.000, 0.000, 0.689) x2
Pd (0.000, 0.000, 0.341) x2

Volume ... 22.8 Å³ per atom
Distance to the lowest polymorph of the same formula ... 107 meV per atom
E ... -4.16 eV per atom
Crystal system ... tetragonal



Entry 3:
The following is a GGA-PBE calculation of a geometry-optimized Gd2Pu structure, from Alexandria via LeMat-Bulk.

abc: 9.143 9.143 9.143
angles: 90.00 90.00 90.00
Space group Fd-3m (No. 227, origin choice 2)
Asymmetric unit:
Gd (0.000, 0.000, 0.000) x16
Pu (0.125, 0.125, 0.625) x8

Volume ... 31.8 Å³ per atom
Distance to the lowest polymorph of the same formula ... 369 meV per atom
E ... -13.70 eV per atom
Crystal system ... cubic



Entry 4:
The following is a GGA-PBE calculation of a geometry-optimized Pm5Sn4Br structure, from Alexandria via LeMat-Bulk.

abc: 3.546 3.546 22.012
angles: 90.00 90.00 90.00
Space group P4/mmm (No. 123)
Asymmetric unit:
Pm (0.000, 0.000, 0.000) x1
Pm (0.000, 0.000, 0.206) x2
Pm (0.000, 0.000, 0.403) x2
Sn (0.500, 0.500, 0.103) x2
Sn (0.500, 0.500, 0.307) x2
Br (0.500, 0.500, 0.500) x1

Volume ... 27.7 Å³ per atom
Energy relative to the elements, uncorrected ... -759 meV per atom
E ... -4.90 eV per atom
Crystal system ... tetragonal



Entry 5:
The following is a GGA-PBE calculation of a geometry-optimized RbSc2Mo structure, from Alexandria via LeMat-Bulk.

abc: 3.3791 3.3791 33.2908
angles: 90.00 90.00 120.00
Space group R-3m (No. 166, hexagonal axes)
Asymmetric unit:
Rb (0.0000, 0.0000, 0.0000) x3
Sc (0.0000, 0.0000, 0.1085) x6
Mo (0.0000, 0.0000, 0.5000) x3

Volume ... 27.4 Å³ per atom
Distance to the lowest polymorph of the same formula ... 0 meV per atom
E ... -5.57 eV per atom
Crystal system ... trigonal



Entry 6:
The following is a GGA-PBE calculation of a geometry-optimized Sr2P3Pt12Rh structure, from Alexandria via LeMat-Bulk.

abc: 8.2574 8.2574 18.6048
angles: 90.00 90.00 120.00
Space group R-3m (No. 166, hexagonal axes)
Asymmetric unit:
Sr (0.0000, 0.0000, 0.1103) x6
P (0.0000, 0.5000, 0.0000) x9
Pt (0.0034, 0.5017, 0.1213) x18
Pt (0.0424, 0.5212, 0.3617) x18
Rh (0.0000, 0.0000, 0.5000) x3

Volume ... 20.3 Å³ per atom
E ... -5.77 eV per atom
Crystal system ... trigonal



Entry 7:
The following is a GGA-PBE calculation of a geometry-optimized Sr2TlHg6Pb structure, from Alexandria via LeMat-Bulk.

abc: 5.264 6.377 8.827
angles: 78.52 87.61 88.31
Space group P-1 (No. 2)
Asymmetric unit:
Sr (0.011, 0.405, 0.232) x2
Tl (0.500, 0.500, 0.500) x1
Hg (0.017, 0.837, 0.389) x2
Hg (0.483, 0.924, 0.698) x2
Hg (0.491, 0.293, 0.929) x2
Pb (0.000, 0.000, 0.000) x1

Volume ... 29.0 Å³ per atom
E ... -1.42 eV per atom
Crystal system ... triclinic



Entry 8:
The following is a GGA-PBE calculation of a geometry-optimized AcNdMgRh structure, from Alexandria via LeMat-Bulk.

abc: 7.585 7.585 7.585
angles: 90.00 90.00 90.00
Space group F-43m (No. 216)
Asymmetric unit:
Ac (0.000, 0.000, 0.000) x4
Nd (0.000, 0.000, 0.500) x4
Mg (0.250, 0.250, 0.750) x4
Rh (0.250, 0.250, 0.250) x4

Volume ... 27.3 Å³ per atom
E ... -4.69 eV per atom
Crystal system ... cubic